Record 1
Material: AgO
Method: DFT, PBE-GGA
State: optimized geometry

POSCAR file:
```
AgO
1.0
3.582 0.000 0.000
1.791 3.102 0.000
1.791 1.034 2.924
O Ag
1 1
Direct
0.250 0.250 0.250
0.000 0.000 0.000
```

Uncorrected formation energy, eV per atom: 0.219
SG: F-43m, No. 216
N(E_F), states/eV/f.u.: 2.62
Raw total energy, eV/atom: -3.6857

Record 2
Material: Ag2O
Method: DFT, PBE-GGA
State: optimized geometry

POSCAR file:
```
Ag2O
1.0
4.243 0.000 0.000
0.000 4.349 0.000
-2.121 0.000 5.377
O Ag
2 4
Direct
0.357 0.250 0.714
0.643 0.750 0.286
0.373 0.750 0.746
0.096 0.750 0.191
0.627 0.250 0.254
0.904 0.250 0.809
```

ΔE to the lowest computed polymorph, eV per formula unit: 0.25
Uncorrected formation energy, eV per atom: 0.010
SG: Cmcm, No. 63
N(E_F), states/eV/f.u.: 0.64
Raw total energy, eV/atom: -3.5439

Record 3
Material: AgO4
Method: DFT, PBE-GGA
State: optimized geometry

POSCAR file:
```
AgO4
1.0
4.109 0.000 0.000
0.000 4.109 0.000
0.000 0.000 4.109
O Ag
4 1
Direct
0.500 0.500 0.000
0.000 0.500 0.500
0.000 0.000 0.000
0.500 0.000 0.500
0.500 0.500 0.500
```

Uncorrected formation energy, eV per atom: 1.351
SG: Pm-3m, No. 221
N(E_F), states/eV/f.u.: 4.64
Raw total energy, eV/atom: -3.1860

Record 4
Material: Ag4O
Method: DFT, PBE-GGA
State: optimized geometry

POSCAR file:
```
Ag4O
1.0
-2.345 1.226 -3.615
3.431 -1.182 -2.627
-1.672 -4.144 -0.320
Ag O
4 1
Direct
0.000 0.500 0.500
0.000 0.000 0.000
0.500 0.000 0.500
0.500 0.500 0.000
0.500 0.500 0.500
```

Uncorrected formation energy, eV per atom: 0.141
SG: Pm-3m, No. 221
N(E_F), states/eV/f.u.: 1.16
Raw total energy, eV/atom: -3.1312

Record 5
Material: Ag2O
Method: DFT, PBE-GGA
State: optimized geometry

POSCAR file:
```
Ag2O
1.0
3.213 0.000 0.000
-1.607 2.783 0.000
0.000 0.000 4.993
Ag O
2 1
Direct
0.667 0.333 0.712
0.333 0.667 0.288
0.000 0.000 0.000
```

ΔE to the lowest computed polymorph, eV per formula unit: 0.34
Uncorrected formation energy, eV per atom: 0.040
SG: P-3m1, No. 164
N(E_F), states/eV/f.u.: 1.80
Raw total energy, eV/atom: -3.5136

Record 6
Material: Ag2O
Method: DFT, PBE-GGA
State: optimized geometry

POSCAR file:
```
Ag2O
1.0
4.330 0.043 0.677
2.087 5.006 0.470
3.157 1.485 7.950
O Ag
3 6
Direct
0.777 0.236 0.880
0.413 0.886 0.417
0.280 0.725 0.130
0.606 0.708 0.813
0.368 0.299 0.254
0.094 0.051 0.654
0.822 0.705 0.098
0.919 0.850 0.428
0.252 0.250 0.898
```

ΔE to the lowest computed polymorph, eV per formula unit: 0.23
Uncorrected formation energy, eV per atom: 0.002
SG: P1, No. 1
N(E_F), states/eV/f.u.: 0.65
Raw total energy, eV/atom: -3.5512

Record 7
Material: AgO
Method: DFT, PBE-GGA
State: optimized geometry

POSCAR file:
```
AgO
1.0
3.081 0.000 0.000
0.000 4.847 -2.798
0.000 0.000 5.596
Ag O
3 3
Direct
0.500 0.667 0.333
0.500 0.333 0.667
0.000 0.000 0.000
0.000 0.601 0.000
0.000 0.399 0.399
0.000 0.000 0.601
```

Uncorrected formation energy, eV per atom: 0.212
SG: P-62m, No. 189
N(E_F), states/eV/f.u.: 2.24
Raw total energy, eV/atom: -3.6928

Record 8
Material: Ag2O3
Method: DFT, PBE-GGA
State: optimized geometry

POSCAR file:
```
Ag2O3
1.0
5.105 0.000 0.000
0.000 5.105 0.000
0.000 0.000 5.105
O Ag
6 4
Direct
0.500 0.500 0.000
0.000 0.500 0.000
0.000 0.000 0.500
0.000 0.500 0.500
0.500 0.000 0.500
0.500 0.000 0.000
0.250 0.250 0.750
0.750 0.250 0.250
0.250 0.750 0.250
0.750 0.750 0.750
```

Uncorrected formation energy, eV per atom: 0.238
SG: Pn-3m, No. 224
N(E_F), states/eV/f.u.: 4.68
Raw total energy, eV/atom: -3.8774

Which value of N(E_F) does entry 2 give?
0.64 states/eV/f.u.

The lowest uncorrected formation energy belongs to which entry?
number 6

What is the uncorrected formation energy in the seventh record?
0.212 eV per atom

The highest N(E_F) belongs to which entry?
Ag2O3